1.
Li3Cd2In5 | PBE-GGA | relaxed

Cell lengths 7.658, 7.658, 9.300 Å; angles 108.76, 108.76, 98.27 degrees
Atoms (fractional coordinates):
Li 0.078 0.262 0.087
Li 0.246 0.754 0.750
Li 0.262 0.078 0.587
Li 0.738 0.922 0.413
Li 0.754 0.246 0.250
Li 0.922 0.738 0.913
Cd 0.152 0.444 0.435
Cd 0.444 0.152 0.935
Cd 0.556 0.848 0.065
Cd 0.848 0.556 0.565
In 0.005 0.995 0.750
In 0.182 0.457 0.877
In 0.252 0.748 0.250
In 0.457 0.182 0.377
In 0.497 0.503 0.750
In 0.503 0.497 0.250
In 0.543 0.818 0.623
In 0.748 0.252 0.750
In 0.818 0.543 0.123
In 0.995 0.005 0.250

* calculated total energy: -44.3 eV for the cell shown
* size of the total moment: 0.0 μB per formula unit

***

2.
LiCd2In2 | PBE-GGA | relaxed

Cell lengths 6.145, 6.049, 7.099 Å; angles 90.00, 96.92, 90.00 degrees
Atoms (fractional coordinates):
Li 0.000 0.000 0.000
Li 0.500 0.500 0.000
Cd 0.250 0.250 0.500
Cd 0.250 0.750 0.500
Cd 0.750 0.250 0.500
Cd 0.750 0.750 0.500
In 0.032 0.500 0.801
In 0.468 0.000 0.199
In 0.532 0.000 0.801
In 0.968 0.500 0.199

* size of the total moment: 0.0 μB per formula unit
* relative energy among the computed polymorphs: 0.049 eV/atom

***

3.
LiCd2In9 | PBE-GGA | relaxed

Cell lengths 4.688, 4.688, 13.877 Å; angles 90.00, 90.00, 90.00 degrees
Atoms (fractional coordinates):
Li 0.000 0.000 0.000
Cd 0.000 0.000 0.326
Cd 0.000 0.000 0.674
In 0.000 0.500 0.160
In 0.000 0.500 0.500
In 0.000 0.500 0.840
In 0.500 0.000 0.160
In 0.500 0.000 0.500
In 0.500 0.000 0.840
In 0.500 0.500 0.000
In 0.500 0.500 0.329
In 0.500 0.500 0.671

* calculated total energy: -28.7 eV for the cell shown
* size of the total moment: 0.0 μB per formula unit

***

4.
Li2CdIn5 | PBE-GGA | relaxed

Cell lengths 6.362, 12.717, 4.558 Å; angles 90.00, 90.00, 90.00 degrees
Atoms (fractional coordinates):
Li 0.248 0.127 0.000
Li 0.252 0.627 0.000
Li 0.748 0.373 0.000
Li 0.752 0.873 0.000
Cd 0.000 0.500 0.500
Cd 0.500 0.000 0.500
In 0.000 0.000 0.500
In 0.004 0.747 0.500
In 0.247 0.378 0.000
In 0.253 0.878 0.000
In 0.496 0.247 0.500
In 0.500 0.500 0.500
In 0.504 0.753 0.500
In 0.747 0.122 0.000
In 0.753 0.622 0.000
In 0.996 0.253 0.500

* size of the total moment: 0.0 μB per formula unit
* relative energy among the computed polymorphs: 0.000 eV/atom

***

5.
Li6CdIn | PBE-GGA | relaxed

Cell lengths 4.673, 6.711, 9.341 Å; angles 90.00, 90.00, 90.00 degrees
Atoms (fractional coordinates):
Li 0.000 0.000 0.000
Li 0.000 0.237 0.727
Li 0.000 0.263 0.227
Li 0.000 0.500 0.500
Li 0.000 0.737 0.227
Li 0.000 0.763 0.727
Li 0.500 0.000 0.700
Li 0.500 0.241 0.966
Li 0.500 0.259 0.466
Li 0.500 0.500 0.200
Li 0.500 0.741 0.466
Li 0.500 0.759 0.966
Cd 0.000 0.000 0.466
Cd 0.000 0.500 0.966
In 0.500 0.000 0.223
In 0.500 0.500 0.723

* calculated total energy: -33.5 eV for the cell shown
* size of the total moment: 0.0 μB per formula unit

***

6.
Li5CdIn2 | PBE-GGA | relaxed

Cell lengths 4.704, 4.704, 13.505 Å; angles 90.00, 90.00, 90.00 degrees
Atoms (fractional coordinates):
Li 0.000 0.000 0.000
Li 0.000 0.500 0.123
Li 0.000 0.500 0.377
Li 0.000 0.500 0.623
Li 0.000 0.500 0.877
Li 0.500 0.000 0.123
Li 0.500 0.000 0.377
Li 0.500 0.000 0.623
Li 0.500 0.000 0.877
Li 0.500 0.500 0.500
Cd 0.000 0.000 0.500
Cd 0.500 0.500 0.000
In 0.000 0.000 0.249
In 0.000 0.000 0.751
In 0.500 0.500 0.251
In 0.500 0.500 0.749

* calculated total energy: -35.9 eV for the cell shown
* size of the total moment: 0.0 μB per formula unit

***

7.
Li3Cd4In | PBE-GGA | relaxed

Cell lengths 9.832, 4.657, 8.671 Å; angles 90.00, 123.31, 90.00 degrees
Atoms (fractional coordinates):
Li 0.000 0.000 0.000
Li 0.207 0.500 0.553
Li 0.293 0.000 0.447
Li 0.500 0.500 0.000
Li 0.707 0.000 0.553
Li 0.793 0.500 0.447
Cd 0.136 0.500 0.827
Cd 0.167 0.500 0.190
Cd 0.333 0.000 0.810
Cd 0.364 0.000 0.173
Cd 0.636 0.000 0.827
Cd 0.667 0.000 0.190
Cd 0.833 0.500 0.810
Cd 0.864 0.500 0.173
In 0.000 0.000 0.500
In 0.500 0.500 0.500

* size of the total moment: 0.0 μB per formula unit
* relative energy among the computed polymorphs: 0.055 eV/atom

***

8.
LiCd2In2 | PBE-GGA | relaxed

Cell lengths 4.345, 4.345, 13.922 Å; angles 90.00, 90.00, 90.00 degrees
Atoms (fractional coordinates):
Li 0.000 0.000 0.000
Li 0.500 0.500 0.500
Cd 0.000 0.000 0.403
Cd 0.000 0.000 0.597
Cd 0.500 0.500 0.097
Cd 0.500 0.500 0.903
In 0.000 0.500 0.250
In 0.000 0.500 0.750
In 0.500 0.000 0.250
In 0.500 0.000 0.750

* size of the total moment: 0.0 μB per formula unit
* relative energy among the computed polymorphs: 0.031 eV/atom

***

9.
LiCd3In | PBE-GGA | relaxed

Cell lengths 6.441, 4.408, 15.473 Å; angles 90.00, 90.00, 90.00 degrees
Atoms (fractional coordinates):
Li 0.130 0.250 0.052
Li 0.370 0.750 0.552
Li 0.630 0.250 0.448
Li 0.870 0.750 0.948
Cd 0.114 0.250 0.860
Cd 0.124 0.250 0.250
Cd 0.145 0.250 0.453
Cd 0.355 0.750 0.953
Cd 0.376 0.750 0.750
Cd 0.386 0.750 0.360
Cd 0.614 0.250 0.640
Cd 0.624 0.250 0.250
Cd 0.645 0.250 0.047
Cd 0.855 0.750 0.547
Cd 0.876 0.750 0.750
Cd 0.886 0.750 0.140
In 0.126 0.250 0.647
In 0.374 0.750 0.147
In 0.626 0.250 0.853
In 0.874 0.750 0.353

* size of the total moment: 0.0 μB per formula unit
* relative energy among the computed polymorphs: 0.000 eV/atom

***

10.
LiCd5In4 | PBE-GGA | relaxed

Cell lengths 7.180, 7.180, 7.180 Å; angles 99.44, 99.44, 132.22 degrees
Atoms (fractional coordinates):
Li 0.000 0.000 0.000
Cd 0.465 0.465 0.000
Cd 0.515 0.875 0.890
Cd 0.626 0.515 0.641
Cd 0.875 0.985 0.359
Cd 0.985 0.626 0.110
In 0.191 0.918 0.622
In 0.296 0.569 0.378
In 0.569 0.191 0.273
In 0.918 0.296 0.727

* size of the total moment: 0.0 μB per formula unit
* relative energy among the computed polymorphs: 0.009 eV/atom

***

11.
Li2Cd2In | PBE-GGA | relaxed

Cell lengths 8.222, 4.906, 5.612 Å; angles 90.00, 117.21, 90.00 degrees
Atoms (fractional coordinates):
Li 0.202 0.000 0.110
Li 0.298 0.500 0.890
Li 0.702 0.500 0.110
Li 0.798 0.000 0.890
Cd 0.096 0.500 0.284
Cd 0.404 0.000 0.716
Cd 0.596 0.000 0.284
Cd 0.904 0.500 0.716
In 0.000 0.000 0.500
In 0.500 0.500 0.500

* size of the total moment: 0.0 μB per formula unit
* relative energy among the computed polymorphs: 0.000 eV/atom

***

12.
Li4CdIn6 | PBE-GGA | relaxed

Cell lengths 8.518, 8.518, 8.518 Å; angles 139.27, 139.27, 58.97 degrees
Atoms (fractional coordinates):
Li 0.044 0.642 0.000
Li 0.358 0.358 0.402
Li 0.642 0.044 0.000
Li 0.956 0.956 0.598
Cd 0.000 0.000 0.000
In 0.000 0.500 0.500
In 0.156 0.156 0.613
In 0.457 0.844 0.000
In 0.500 0.000 0.500
In 0.543 0.543 0.387
In 0.844 0.457 0.000

* calculated total energy: -25.9 eV for the cell shown
* size of the total moment: 0.0 μB per formula unit

***

13.
Li4Cd6In | PBE-GGA | relaxed

Cell lengths 8.439, 8.439, 8.439 Å; angles 139.67, 139.67, 58.35 degrees
Atoms (fractional coordinates):
Li 0.028 0.638 0.000
Li 0.362 0.362 0.390
Li 0.638 0.028 0.000
Li 0.972 0.972 0.610
Cd 0.000 0.500 0.500
Cd 0.171 0.171 0.630
Cd 0.459 0.829 0.000
Cd 0.500 0.000 0.500
Cd 0.541 0.541 0.370
Cd 0.829 0.459 0.000
In 0.000 0.000 0.000

* calculated total energy: -16.6 eV for the cell shown
* size of the total moment: 0.0 μB per formula unit

***

14.
LiCd2In2 | PBE-GGA | relaxed

Cell lengths 7.711, 7.711, 4.200 Å; angles 90.00, 90.00, 90.00 degrees
Atoms (fractional coordinates):
Li 0.000 0.000 0.000
Li 0.500 0.500 0.000
Cd 0.138 0.362 0.000
Cd 0.362 0.862 0.000
Cd 0.638 0.138 0.000
Cd 0.862 0.638 0.000
In 0.168 0.668 0.500
In 0.332 0.168 0.500
In 0.668 0.832 0.500
In 0.832 0.332 0.500

* size of the total moment: 0.0 μB per formula unit
* relative energy among the computed polymorphs: 0.000 eV/atom

***

15.
Li8Cd2In | PBE-GGA | relaxed

Cell lengths 7.826, 7.826, 4.982 Å; angles 106.65, 106.65, 122.43 degrees
Atoms (fractional coordinates):
Li 0.100 0.337 0.675
Li 0.208 0.792 0.000
Li 0.337 0.100 0.675
Li 0.427 0.427 0.206
Li 0.573 0.573 0.794
Li 0.663 0.900 0.325
Li 0.792 0.208 0.000
Li 0.900 0.663 0.325
Cd 0.312 0.688 0.500
Cd 0.688 0.312 0.500
In 0.000 0.000 0.000

* size of the total moment: 0.0 μB per formula unit
* relative energy among the computed polymorphs: 0.073 eV/atom

***

16.
Li2CdIn3 | PBE-GGA | relaxed

Cell lengths 9.994, 9.994, 3.208 Å; angles 90.00, 90.00, 120.00 degrees
Atoms (fractional coordinates):
Li 0.000 0.000 0.000
Li 0.000 0.500 0.000
Li 0.500 0.000 0.000
Li 0.500 0.500 0.000
Cd 0.333 0.667 0.500
Cd 0.667 0.333 0.500
In 0.169 0.337 0.500
In 0.169 0.831 0.500
In 0.337 0.169 0.500
In 0.663 0.831 0.500
In 0.831 0.169 0.500
In 0.831 0.663 0.500

* size of the total moment: 0.0 μB per formula unit
* relative energy among the computed polymorphs: 0.003 eV/atom

***

17.
Li4CdIn5 | PBE-GGA | relaxed

Cell lengths 7.948, 7.948, 6.925 Å; angles 115.76, 115.76, 33.28 degrees
Atoms (fractional coordinates):
Li 0.014 0.014 0.261
Li 0.328 0.328 0.579
Li 0.672 0.672 0.421
Li 0.986 0.986 0.739
Cd 0.500 0.500 0.000
In 0.172 0.172 0.135
In 0.172 0.172 0.708
In 0.500 0.500 0.500
In 0.828 0.828 0.292
In 0.828 0.828 0.865

* size of the total moment: 0.0 μB per formula unit
* relative energy among the computed polymorphs: 0.015 eV/atom

***

18.
Li4CdIn2 | PBE-GGA | relaxed

Cell lengths 6.100, 6.100, 9.579 Å; angles 90.00, 90.00, 52.70 degrees
Atoms (fractional coordinates):
Li 0.014 0.486 0.750
Li 0.222 0.778 0.756
Li 0.278 0.722 0.256
Li 0.486 0.014 0.250
Li 0.514 0.986 0.750
Li 0.722 0.278 0.744
Li 0.778 0.222 0.244
Li 0.986 0.514 0.250
Cd 0.000 0.000 0.500
Cd 0.500 0.500 0.000
In 0.151 0.151 0.000
In 0.349 0.349 0.500
In 0.651 0.651 0.500
In 0.849 0.849 0.000

* size of the total moment: 0.0 μB per formula unit
* relative energy among the computed polymorphs: 0.000 eV/atom

***

19.
Li3Cd4In | PBE-GGA | relaxed

Cell lengths 3.348, 4.899, 9.892 Å; angles 98.43, 99.60, 90.32 degrees
Atoms (fractional coordinates):
Li 0.000 0.000 0.000
Li 0.124 0.580 0.252
Li 0.876 0.420 0.748
Cd 0.249 0.252 0.499
Cd 0.382 0.931 0.764
Cd 0.618 0.069 0.236
Cd 0.751 0.748 0.501
In 0.500 0.500 0.000

* size of the total moment: 0.0 μB per formula unit
* relative energy among the computed polymorphs: 0.000 eV/atom

***

20.
Li8CdIn2 | PBE-GGA | relaxed

Cell lengths 8.265, 8.265, 5.444 Å; angles 90.02, 90.02, 33.38 degrees
Atoms (fractional coordinates):
Li 0.042 0.042 0.234
Li 0.141 0.141 0.663
Li 0.317 0.317 0.597
Li 0.404 0.404 0.043
Li 0.596 0.596 0.957
Li 0.683 0.683 0.403
Li 0.859 0.859 0.337
Li 0.958 0.958 0.766
Cd 0.500 0.500 0.500
In 0.220 0.220 0.144
In 0.780 0.780 0.856

* size of the total moment: 0.0 μB per formula unit
* relative energy among the computed polymorphs: 0.000 eV/atom